Ac3TmSe6: optimized geometry, PBE.

The structure in POSCAR format:
```
Ac3TmSe6
1.0
7.355 0.000 0.000
0.000 8.019 0.000
-7.002 0.000 10.884
Ac Tm Se
6 2 12
direct
0.000 0.000 0.000
0.000 0.500 0.500
0.292 0.093 0.755
0.292 0.407 0.255
0.708 0.593 0.745
0.708 0.907 0.245
0.500 0.000 0.500
0.500 0.500 0.000
0.117 0.056 0.264
0.117 0.444 0.764
0.267 0.679 0.075
0.267 0.821 0.575
0.407 0.196 0.074
0.407 0.304 0.574
0.593 0.696 0.426
0.593 0.804 0.926
0.733 0.179 0.425
0.733 0.321 0.925
0.883 0.556 0.236
0.883 0.944 0.736
```

Computed properties:
Magnetic moment = 0.00 μB per cell
Density of states at the Fermi level = 0.000 states/eV/f.u.
Uncorrected formation energy = -45.05 kcal/mol of atoms
Space-group type = P2_1/c



AcTm2Se5: optimized geometry, PBE.

The structure in POSCAR format:
```
AcTm2Se5
1.0
-3.855 3.855 6.718
3.855 -3.855 6.718
3.855 3.855 -6.718
Ac Tm Se
2 4 10
direct
0.250 0.250 0.000
0.750 0.750 0.000
0.157 0.657 0.813
0.343 0.157 0.500
0.657 0.843 0.500
0.843 0.343 0.187
0.000 0.000 0.000
0.012 0.209 0.500
0.209 0.709 0.197
0.291 0.488 0.500
0.488 0.988 0.197
0.500 0.500 0.000
0.512 0.012 0.803
0.709 0.512 0.500
0.791 0.291 0.803
0.988 0.791 0.500
```

Computed properties:
Magnetic moment = 0.00 μB per cell
Density of states at the Fermi level = 6.218 states/eV/f.u.
Uncorrected formation energy = -39.51 kcal/mol of atoms
Space-group type = I4/mcm



Ac3Y2TmSe6: optimized geometry, PBE.

The structure in POSCAR format:
```
Ac3Y2TmSe6
1.0
3.591 -6.235 0.000
3.591 6.235 0.000
-2.404 0.000 7.346
Ac Y Tm Se
3 2 1 6
direct
0.000 0.000 0.000
0.332 0.668 0.000
0.668 0.332 0.000
0.167 0.833 0.500
0.833 0.167 0.500
0.500 0.500 0.500
0.099 0.428 0.283
0.244 0.244 0.719
0.428 0.099 0.283
0.572 0.901 0.717
0.756 0.756 0.281
0.901 0.572 0.717
```

Computed properties:
Magnetic moment = 0.00 μB per cell
Density of states at the Fermi level = 4.656 states/eV/f.u.
Uncorrected formation energy = -41.43 kcal/mol of atoms
Space-group type = C2/m



Ac3Y3TmSe8: optimized geometry, PBE.

The structure in POSCAR format:
```
Ac3Y3TmSe8
1.0
4.181 2.414 7.156
-4.181 2.414 7.156
0.000 -4.828 7.156
Ac Y Tm Se
3 3 1 8
direct
0.000 0.500 0.500
0.500 0.000 0.500
0.500 0.500 0.000
0.000 0.000 0.500
0.000 0.500 0.000
0.500 0.000 0.000
0.500 0.500 0.500
0.241 0.241 0.241
0.241 0.741 0.741
0.259 0.259 0.759
0.259 0.759 0.259
0.741 0.241 0.741
0.741 0.741 0.241
0.759 0.259 0.259
0.759 0.759 0.759
```

Computed properties:
Magnetic moment = 0.00 μB per cell
Density of states at the Fermi level = 7.292 states/eV/f.u.
Uncorrected formation energy = -42.81 kcal/mol of atoms
Space-group type = R-3m



Ac2YTmSe4: optimized geometry, PBE.

The structure in POSCAR format:
```
Ac2YTmSe4
1.0
7.165 0.000 0.000
0.000 4.116 0.000
-2.372 0.000 7.410
Ac Y Tm Se
2 1 1 4
direct
0.000 0.000 0.000
0.500 0.500 0.000
0.000 0.500 0.500
0.500 0.000 0.500
0.242 0.000 0.717
0.265 0.500 0.285
0.735 0.500 0.715
0.758 0.000 0.283
```

Computed properties:
Magnetic moment = 0.00 μB per cell
Density of states at the Fermi level = 2.963 states/eV/f.u.
Uncorrected formation energy = -41.23 kcal/mol of atoms
Space-group type = P2/m



Ac4Y3TmSe8: optimized geometry, PBE.

The structure in POSCAR format:
```
Ac4Y3TmSe8
1.0
4.149 2.395 7.374
-4.149 2.395 7.374
0.000 -4.790 7.374
Ac Y Tm Se
4 3 1 8
direct
0.000 0.000 0.000
0.000 0.500 0.500
0.500 0.000 0.500
0.500 0.500 0.000
0.000 0.000 0.500
0.000 0.500 0.000
0.500 0.000 0.000
0.500 0.500 0.500
0.240 0.240 0.240
0.242 0.737 0.737
0.263 0.263 0.758
0.263 0.758 0.263
0.737 0.242 0.737
0.737 0.737 0.242
0.758 0.263 0.263
0.760 0.760 0.760
```

Computed properties:
Magnetic moment = 0.00 μB per cell
Density of states at the Fermi level = 7.644 states/eV/f.u.
Uncorrected formation energy = -41.43 kcal/mol of atoms
Space-group type = R-3m